Record 1
Material: NdSm5Sn4
Method: DFT, PBE
State: relaxed Values from VASP.

Results
Calculated formation energy, eV per atom: -0.5579
Mass density, kg/m³: 7043
Fermi-level density of states, states/eV/atom: 0.6598

```
&SYSTEM
  ibrav = 0, nat = 10, ntyp = 3
/
ATOMIC_SPECIES
Nd 144.24 Nd.upf
Sm 150.36 Sm.upf
Sn 118.71 Sn.upf
ATOMIC_POSITIONS crystal
Nd 0.000 0.000 0.000
Sm 0.000 0.000 0.500
Sm 0.334 0.334 0.007
Sm 0.334 0.334 0.491
Sm 0.666 0.666 0.509
Sm 0.666 0.666 0.993
Sn 0.177 0.177 0.749
Sn 0.491 0.491 0.747
Sn 0.509 0.509 0.253
Sn 0.823 0.823 0.251
CELL_PARAMETERS angstrom
8.181 -2.716 0.000
8.181 2.716 0.000
-0.035 0.000 7.272
```

Record 2
Material: Nd3Sm2Sn4
Method: DFT, PBE
State: relaxed Values from VASP.

Results
Calculated formation energy, eV per atom: -0.7668
Energy relative to the lowest polymorph listed for this composition, meV/atom: 0
Mass density, kg/m³: 7258
Fermi-level density of states, states/eV/atom: 0.9140

```
&SYSTEM
  ibrav = 0, nat = 18, ntyp = 3
/
ATOMIC_SPECIES
Nd 144.24 Nd.upf
Sm 150.36 Sm.upf
Sn 118.71 Sn.upf
ATOMIC_POSITIONS crystal
Nd 0.000 0.000 0.000
Nd 0.000 0.500 0.500
Nd 0.306 0.181 0.435
Nd 0.306 0.319 0.935
Nd 0.694 0.681 0.065
Nd 0.694 0.819 0.565
Sm 0.255 0.670 0.262
Sm 0.255 0.830 0.762
Sm 0.745 0.170 0.238
Sm 0.745 0.330 0.738
Sn 0.014 0.133 0.633
Sn 0.014 0.367 0.133
Sn 0.420 0.537 0.664
Sn 0.420 0.963 0.164
Sn 0.580 0.037 0.836
Sn 0.580 0.463 0.336
Sn 0.986 0.633 0.867
Sn 0.986 0.867 0.367
CELL_PARAMETERS angstrom
8.498 0.000 0.000
0.000 8.509 0.000
-2.865 0.000 7.646
```

Record 3
Material: NdSm7Sn2
Method: DFT, PBE
State: relaxed Values from VASP.

Results
Calculated formation energy, eV per atom: 0.1614
Mass density, kg/m³: 5837
Fermi-level density of states, states/eV/atom: 2.1605

```
&SYSTEM
  ibrav = 0, nat = 10, ntyp = 3
/
ATOMIC_SPECIES
Nd 144.24 Nd.upf
Sm 150.36 Sm.upf
Sn 118.71 Sn.upf
ATOMIC_POSITIONS crystal
Nd 0.000 0.000 0.000
Sm 0.057 0.305 0.500
Sm 0.234 0.766 0.000
Sm 0.305 0.057 0.500
Sm 0.500 0.500 0.500
Sm 0.695 0.943 0.500
Sm 0.766 0.234 0.000
Sm 0.943 0.695 0.500
Sn 0.303 0.697 0.500
Sn 0.697 0.303 0.500
CELL_PARAMETERS angstrom
4.621 -7.778 0.000
4.621 7.778 0.000
0.000 0.000 5.675
```